Entry 1:
{
  "formula": "CaY2PuO6",
  "functional": "PBE-GGA",
  "state": "relaxed",
  "cell": [[-1.973, -4.239, -3.532], [-0.047, -5.563, 1.842], [-5.384, -2.615, 1.286]],
  "species": ["Ca", "Y", "Y", "Pu", "O", "O", "O", "O", "O", "O"],
  "frac_coords": [[0.805, 0.805, 0.584], [0.527, 0.527, 0.419], [0.021, 0.021, 0.936], [0.314, 0.314, 0.058], [0.615, 0.218, 0.246], [0.218, 0.922, 0.246], [0.922, 0.615, 0.246], [0.400, 0.702, 0.760], [0.702, 0.138, 0.760], [0.138, 0.400, 0.760]],
  "magnetic_moment_mub_per_fu": 4.000,
  "energy_ev_per_atom": -9.14
}

***

Entry 2:
{
  "formula": "CaPu2ZnO8",
  "functional": "PBE-GGA",
  "state": "relaxed",
  "cell": [[4.895, 0.081, -0.003], [0.142, 4.894, -0.005], [0.004, 0.008, 6.897]],
  "species": ["Ca", "Pu", "Pu", "Zn", "O", "O", "O", "O", "O", "O", "O", "O"],
  "frac_coords": [[0.000, 0.000, 0.500], [0.500, 0.500, 0.756], [0.500, 0.500, 0.244], [0.000, 0.000, 0.000], [0.212, 0.786, 0.232], [0.690, 0.691, 0.000], [0.788, 0.214, 0.232], [0.788, 0.214, 0.768], [0.310, 0.309, 0.000], [0.212, 0.786, 0.768], [0.677, 0.678, 0.500], [0.323, 0.322, 0.500]],
  "magnetic_moment_mub_per_fu": 4.000,
  "energy_ev_per_atom": -8.41
}

***

Entry 3:
{
  "formula": "RbCaO",
  "functional": "PBE-GGA",
  "state": "relaxed",
  "cell": [[-1.513, 3.647, 2.262], [1.191, -1.947, 3.936], [9.965, 4.594, -0.742]],
  "species": ["Rb", "Rb", "O", "O", "Ca", "Ca"],
  "frac_coords": [[0.000, 0.500, 0.818], [0.500, 0.000, 0.182], [0.000, 0.500, 0.544], [0.500, 0.000, 0.456], [0.500, 0.500, 0.500], [0.000, 0.000, 0.500]],
  "magnetic_moment_mub_per_fu": 0.000,
  "energy_ev_per_atom": -4.36
}

***

Entry 4:
{
  "formula": "RbCa3O",
  "functional": "PBE-GGA",
  "state": "relaxed",
  "cell": [[7.040, 0.000, 0.000], [0.000, 7.040, 0.000], [0.000, 0.000, 7.040]],
  "species": ["Ca", "Ca", "Ca", "O", "Rb"],
  "frac_coords": [[0.000, 0.500, 0.000], [0.000, 0.000, 0.500], [0.500, 0.000, 0.000], [0.500, 0.500, 0.500], [0.000, 0.000, 0.000]],
  "magnetic_moment_mub_per_fu": 0.000,
  "energy_ev_per_atom": -1.00
}

***

Entry 5:
{
  "formula": "Rb2CaO",
  "functional": "PBE-GGA",
  "state": "relaxed",
  "cell": [[12.937, 0.000, 0.000], [0.000, 12.937, 0.000], [6.469, 6.469, 2.192]],
  "species": ["Ca", "Ca", "O", "O", "Rb", "Rb", "Rb", "Rb"],
  "frac_coords": [[0.000, 0.000, 0.000], [0.750, 0.250, 0.500], [0.500, 0.500, 0.000], [0.250, 0.750, 0.500], [0.450, 0.125, 0.250], [0.300, 0.625, 0.250], [0.375, 0.550, 0.750], [0.875, 0.700, 0.750]],
  "magnetic_moment_mub_per_fu": 0.000,
  "energy_ev_per_atom": -3.12
}

***

Entry 6:
{
  "formula": "RbCa2O",
  "functional": "PBE-GGA",
  "state": "relaxed",
  "cell": [[-0.198, 3.430, -1.256], [-2.800, 1.010, -2.127], [-6.470, 4.290, 7.407]],
  "species": ["Ca", "Ca", "O", "Rb"],
  "frac_coords": [[0.123, 0.123, 0.631], [0.877, 0.877, 0.369], [0.500, 0.500, 0.500], [0.000, 0.000, 0.000]],
  "magnetic_moment_mub_per_fu": 0.000,
  "energy_ev_per_atom": -3.61
}